A geometry-optimized Tm2InSi structure, computed with GGA-PBE. Values from VASP.

Computed properties:
Uncorrected formation energy ... -0.3888 eV per atom
Calculated volume ... 102.9 Å³ per cell
D(E_F) ... 2.964 states/eV/cell
Space group ... No. 166

Cell and atoms, written as Quantum ESPRESSO input:
```
&SYSTEM
  ibrav = 0, nat = 4, ntyp = 3
/
ATOMIC_SPECIES
Tm 168.93 Tm.upf
Si 28.09 Si.upf
In 114.82 In.upf
CELL_PARAMETERS angstrom
-0.975 -0.499 3.583
-1.974 -3.023 1.000
6.211 -5.419 2.895
ATOMIC_POSITIONS crystal
Tm 0.738 0.738 0.786
Si 0.000 0.000 0.000
In 0.500 0.500 0.500
Tm 0.262 0.262 0.214
```